Material: Cs2Hg2H5
Method: DFT, PBE
State: relaxed

Properties
For the raw total energy, the calculation gives -2.083 eV/atom. The magnetization comes out at 0.000 μB per formula unit.

Lattice parameters (Å, degrees): 11.091 11.091 11.091 64.22 159.31 119.96
Fractional coordinates of all 18 atoms:
Cs1 0.000 0.000 0.000
Cs2 0.000 0.500 0.500
Cs3 0.236 0.250 0.486
Cs4 0.764 0.750 0.514
Hg1 0.502 0.108 0.111
Hg2 0.502 0.891 0.894
Hg3 0.997 0.391 0.889
Hg4 0.997 0.608 0.106
H1 0.188 0.531 0.917
H2 0.188 0.771 0.157
H3 0.391 0.728 0.922
H4 0.391 0.969 0.163
H5 0.503 0.999 0.004
H6 0.613 0.031 0.843
H7 0.613 0.271 0.083
H8 0.807 0.228 0.837
H9 0.807 0.469 0.078
H10 0.995 0.499 0.996


Material: Cs12Hg5H3
Method: DFT, PBE
State: relaxed

Properties
For the raw total energy, the calculation gives -1.035 eV/atom. The magnetization comes out at 1.341 μB per formula unit.

Lattice parameters (Å, degrees): 18.593 18.593 18.593 109.47 109.47 109.47
Fractional coordinates of all 80 atoms:
Cs1 0.054 0.622 0.382
Cs2 0.054 0.932 0.673
Cs3 0.068 0.240 0.122
Cs4 0.068 0.327 0.946
Cs5 0.118 0.740 0.673
Cs6 0.118 0.878 0.446
Cs7 0.122 0.068 0.240
Cs8 0.122 0.554 0.882
Cs9 0.173 0.240 0.618
Cs10 0.173 0.432 0.554
Cs11 0.240 0.122 0.068
Cs12 0.240 0.618 0.173
Cs13 0.260 0.327 0.882
Cs14 0.260 0.432 0.378
Cs15 0.327 0.882 0.260
Cs16 0.327 0.946 0.068
Cs17 0.378 0.260 0.432
Cs18 0.378 0.618 0.946
Cs19 0.382 0.054 0.622
Cs20 0.382 0.827 0.760
Cs21 0.432 0.378 0.260
Cs22 0.432 0.554 0.173
Cs23 0.446 0.118 0.878
Cs24 0.446 0.827 0.568
Cs25 0.554 0.173 0.432
Cs26 0.554 0.882 0.122
Cs27 0.568 0.446 0.827
Cs28 0.568 0.622 0.740
Cs29 0.618 0.173 0.240
Cs30 0.618 0.946 0.378
Cs31 0.622 0.382 0.054
Cs32 0.622 0.740 0.568
Cs33 0.673 0.054 0.932
Cs34 0.673 0.118 0.740
Cs35 0.740 0.568 0.622
Cs36 0.740 0.673 0.118
Cs37 0.760 0.382 0.827
Cs38 0.760 0.878 0.932
Cs39 0.827 0.568 0.446
Cs40 0.827 0.760 0.382
Cs41 0.878 0.446 0.118
Cs42 0.878 0.932 0.760
Cs43 0.882 0.122 0.554
Cs44 0.882 0.260 0.327
Cs45 0.932 0.673 0.054
Cs46 0.932 0.760 0.878
Cs47 0.946 0.068 0.327
Cs48 0.946 0.378 0.618
Hg1 0.000 0.000 0.000
Hg2 0.000 0.000 0.500
Hg3 0.000 0.500 0.000
Hg4 0.000 0.500 0.500
Hg5 0.125 0.750 0.875
Hg6 0.125 0.875 0.250
Hg7 0.250 0.125 0.875
Hg8 0.250 0.625 0.375
Hg9 0.375 0.250 0.625
Hg10 0.375 0.625 0.750
Hg11 0.500 0.000 0.000
Hg12 0.500 0.000 0.500
Hg13 0.500 0.500 0.000
Hg14 0.500 0.500 0.500
Hg15 0.625 0.375 0.250
Hg16 0.625 0.750 0.375
Hg17 0.750 0.375 0.625
Hg18 0.750 0.875 0.125
Hg19 0.875 0.125 0.750
Hg20 0.875 0.250 0.125
H1 0.125 0.250 0.375
H2 0.125 0.375 0.750
H3 0.250 0.375 0.125
H4 0.250 0.875 0.625
H5 0.375 0.125 0.250
H6 0.375 0.750 0.125
H7 0.625 0.250 0.875
H8 0.625 0.875 0.750
H9 0.750 0.125 0.375
H10 0.750 0.625 0.875
H11 0.875 0.625 0.250
H12 0.875 0.750 0.625


Material: Cs8Hg3H
Method: DFT, PBE
State: relaxed

Properties
For the raw total energy, the calculation gives -1.027 eV/atom. The magnetization comes out at 0.002 μB per formula unit.

Lattice parameters (Å, degrees): 8.873 8.873 10.952 90.00 90.00 107.72
Fractional coordinates of all 12 atoms:
Cs1 0.224 0.776 0.000
Cs2 0.261 0.289 0.717
Cs3 0.274 0.726 0.500
Cs4 0.289 0.261 0.283
Cs5 0.711 0.739 0.283
Cs6 0.726 0.274 0.500
Cs7 0.739 0.711 0.717
Cs8 0.776 0.224 0.000
Hg1 0.000 0.500 0.249
Hg2 0.500 0.000 0.751
Hg3 0.500 0.500 0.000
H1 0.500 0.500 0.500


Material: CsHgH2
Method: DFT, PBE
State: relaxed

Properties
For the raw total energy, the calculation gives -1.913 eV/atom. The magnetization comes out at 0.000 μB per formula unit.

Lattice parameters (Å, degrees): 7.016 7.016 7.016 133.34 133.34 68.12
Fractional coordinates of all 8 atoms:
Cs1 0.000 0.000 0.000
Cs2 0.750 0.250 0.500
Hg1 0.250 0.750 0.500
Hg2 0.500 0.500 0.000
H1 0.373 0.625 0.248
H2 0.375 0.623 0.748
H3 0.377 0.125 0.752
H4 0.875 0.627 0.252


Material: Cs2HgH
Method: DFT, PBE
State: relaxed

Properties
For the raw total energy, the calculation gives -1.434 eV/atom. The magnetization comes out at 0.000 μB per formula unit.

Lattice parameters (Å, degrees): 4.134 4.134 8.995 90.00 90.00 90.00
Fractional coordinates of all 4 atoms:
Cs1 0.000 0.000 0.211
Cs2 0.000 0.000 0.789
Hg1 0.500 0.500 0.500
H1 0.500 0.500 0.000


Material: CsHg3H3
Method: DFT, PBE
State: relaxed

Properties
For the raw total energy, the calculation gives -1.543 eV/atom. The magnetization comes out at 0.000 μB per formula unit.

Lattice parameters (Å, degrees): 6.899 6.899 6.899 78.70 78.70 78.70
Fractional coordinates of all 14 atoms:
Cs1 0.160 0.160 0.160
Cs2 0.840 0.840 0.840
Hg1 0.239 0.624 0.347
Hg2 0.347 0.239 0.624
Hg3 0.376 0.653 0.761
Hg4 0.624 0.347 0.239
Hg5 0.653 0.761 0.376
Hg6 0.761 0.376 0.653
H1 0.035 0.256 0.616
H2 0.256 0.616 0.035
H3 0.384 0.965 0.744
H4 0.616 0.035 0.256
H5 0.744 0.384 0.965
H6 0.965 0.744 0.384


- Which of these has the highest raw total energy?
  Cs8Hg3H


- Look up the magnetization of the first one.
  0.000 μB per formula unit


- Look up the raw total energy of the third one.
  -1.027 eV/atom


Repeat the fourth record exactly.
Material: CsHgH2
Method: DFT, PBE
State: relaxed

Properties
For the raw total energy, the calculation gives -1.913 eV/atom. The magnetization comes out at 0.000 μB per formula unit.

Lattice parameters (Å, degrees): 7.016 7.016 7.016 133.34 133.34 68.12
Fractional coordinates of all 8 atoms:
Cs1 0.000 0.000 0.000
Cs2 0.750 0.250 0.500
Hg1 0.250 0.750 0.500
Hg2 0.500 0.500 0.000
H1 0.373 0.625 0.248
H2 0.375 0.623 0.748
H3 0.377 0.125 0.752
H4 0.875 0.627 0.252